1.
The following is a PBE-GGA calculation of a geometry-optimized Pm5NdSm4 structure, from Alexandria via LeMat-Bulk.

Lattice parameters (Å, degrees): 3.5045 6.9279 14.4747 97.25 96.95 90.00
Fractional coordinates of all 10 atoms:
Pm (0.2014, 0.5996, 0.4028)
Pm (0.2061, 0.1034, 0.4122)
Pm (0.7939, 0.8966, 0.5878)
Pm (0.5000, 0.5000, 0.0000)
Pm (0.7986, 0.4004, 0.5972)
Nd (0.5000, 0.0000, 0.0000)
Sm (0.6082, 0.8080, 0.2163)
Sm (0.9057, 0.7000, 0.8115)
Sm (0.3918, 0.1920, 0.7837)
Sm (0.0943, 0.3000, 0.1885)

**Space group**: No. 12
**M_tot**: 0.0 Bohr magnetons per cell
**Crystal system**: monoclinic
**Energy above the most stable polymorph in this dataset**: 0.000 eV per atom
**Uncorrected energy**: -4.598 eV/atom
**D(E_F)**: 1.71 states/eV/atom
**Mass density**: 7.058 Mg/m³

***

2.
The following is a PBE-GGA calculation of a geometry-optimized PmNd4Sm3 structure, from Alexandria via LeMat-Bulk.

Lattice parameters (Å, degrees): 6.3907 7.3848 11.8379 90.00 90.00 90.00
Fractional coordinates of all 16 atoms:
Pm (0.1491, 0.3755, 0.0000)
Pm (0.6491, 0.6245, 0.5000)
Nd (0.1475, 0.8738, 0.0000)
Nd (0.6487, 0.1262, 0.0000)
Nd (0.9808, 0.1259, 0.2505)
Nd (0.4808, 0.8741, 0.2495)
Nd (0.1487, 0.8738, 0.5000)
Nd (0.6475, 0.1262, 0.5000)
Nd (0.4808, 0.8741, 0.7505)
Nd (0.9808, 0.1259, 0.7495)
Sm (0.6484, 0.6235, 0.0000)
Sm (0.9800, 0.6238, 0.2498)
Sm (0.4800, 0.3762, 0.2502)
Sm (0.1484, 0.3765, 0.5000)
Sm (0.4800, 0.3762, 0.7498)
Sm (0.9800, 0.6238, 0.7502)

**Space group**: No. 31
**M_tot**: 0.0 Bohr magnetons per cell
**Crystal system**: orthorhombic
**Energy above the most stable polymorph in this dataset**: 0.018 eV per atom
**Uncorrected energy**: -4.715 eV/atom
**D(E_F)**: 1.77 states/eV/atom
**Mass density**: 6.973 Mg/m³

***

3.
The following is a PBE-GGA calculation of a geometry-optimized Pm4NdSm5 structure, from Alexandria via LeMat-Bulk.

Lattice parameters (Å, degrees): 3.6405 10.3070 9.6303 105.55 100.86 89.92
Fractional coordinates of all 10 atoms:
Pm (0.7003, 0.1000, 0.4003)
Pm (0.1000, 0.3013, 0.2003)
Pm (0.2997, 0.9000, 0.5997)
Pm (0.9000, 0.6987, 0.7997)
Nd (0.5000, 0.0000, 0.0000)
Sm (0.6998, 0.6001, 0.3999)
Sm (0.1003, 0.7989, 0.2004)
Sm (0.8997, 0.2011, 0.7996)
Sm (0.5000, 0.5000, 0.0000)
Sm (0.3002, 0.3999, 0.6001)

**Space group**: No. 2
**M_tot**: 0.0 Bohr magnetons per cell
**Crystal system**: triclinic
**Energy above the most stable polymorph in this dataset**: 0.000 eV per atom
**Uncorrected energy**: -4.723 eV/atom
**D(E_F)**: 1.42 states/eV/atom
**Mass density**: 7.178 Mg/m³

***

4.
The following is a PBE-GGA calculation of a geometry-optimized Pm3Nd4Sm2 structure, from Alexandria via LeMat-Bulk.

Lattice parameters (Å, degrees): 3.6604 3.6604 27.2624 90.00 90.00 120.00
Fractional coordinates of all 9 atoms:
Pm (0.0000, 0.0000, 0.9834)
Pm (0.0000, 0.0000, 0.3216)
Pm (0.6667, 0.3333, 0.6539)
Nd (0.0000, 0.0000, 0.5437)
Nd (0.6667, 0.3333, 0.4337)
Nd (0.6667, 0.3333, 0.2152)
Nd (0.0000, 0.0000, 0.7647)
Sm (0.6667, 0.3333, 0.0882)
Sm (0.6667, 0.3333, 0.8727)

**Space group**: No. 156
**M_tot**: 0.0 Bohr magnetons per cell
**Crystal system**: trigonal
**Energy above the most stable polymorph in this dataset**: 0.049 eV per atom
**Uncorrected energy**: -4.689 eV/atom
**D(E_F)**: 1.86 states/eV/atom
**Mass density**: 6.891 Mg/m³

***

5.
The following is a PBE-GGA calculation of a geometry-optimized PmNd10Sm4 structure, from Alexandria via LeMat-Bulk.

Lattice parameters (Å, degrees): 7.8641 9.6524 9.6524 80.45 65.96 65.96
Fractional coordinates of all 15 atoms:
Pm (0.0000, 0.0000, 0.0000)
Nd (0.2500, 0.5000, 0.5000)
Nd (0.6502, 0.3002, 0.8988)
Nd (0.0496, 0.1012, 0.3002)
Nd (0.4509, 0.8988, 0.6998)
Nd (0.8492, 0.6998, 0.1012)
Nd (0.3498, 0.6998, 0.1012)
Nd (0.7500, 0.5000, 0.5000)
Nd (0.1508, 0.3002, 0.8988)
Nd (0.5491, 0.1012, 0.3002)
Nd (0.9504, 0.8988, 0.6998)
Sm (0.3995, 0.8010, 0.4000)
Sm (0.7995, 0.6000, 0.8010)
Sm (0.2005, 0.4000, 0.1990)
Sm (0.6005, 0.1990, 0.6000)

**Space group**: No. 87
**M_tot**: 0.0 Bohr magnetons per cell
**Crystal system**: tetragonal
**Uncorrected energy**: -4.050 eV/atom
**D(E_F)**: 1.59 states/eV/atom
**Mass density**: 5.948 Mg/m³

***

6.
The following is a PBE-GGA calculation of a geometry-optimized Pm4Nd2Sm structure, from Alexandria via LeMat-Bulk.

Lattice parameters (Å, degrees): 3.6568 3.6568 20.9616 85.00 85.00 60.00
Fractional coordinates of all 7 atoms:
Pm (0.1430, 0.1430, 0.5711)
Pm (0.2861, 0.2861, 0.1418)
Pm (0.7139, 0.7139, 0.8582)
Pm (0.8570, 0.8570, 0.4289)
Nd (0.4285, 0.4285, 0.7146)
Nd (0.5715, 0.5715, 0.2854)
Sm (0.0000, 0.0000, 0.0000)

**Space group**: No. 166
**M_tot**: 0.0 Bohr magnetons per cell
**Crystal system**: trigonal
**Energy above the most stable polymorph in this dataset**: 0.000 eV per atom
**Uncorrected energy**: -4.742 eV/atom
**D(E_F)**: 1.32 states/eV/atom
**Mass density**: 7.005 Mg/m³